## LaPm3Ho6 (PBE)

Data for LaPm3Ho6 after structural relaxation.

Results
DFT formation energy: 0.126 eV/atom
E above lowest polymorph: 0.0 meV per atom

Unit cell a=8.9863 b=9.0719 c=9.0719 alpha=116.51 beta=90.00 gamma=90.00
Fractional coordinates of all 20 atoms:
1 Ho 0.4484 0.2155 0.7845
2 Ho 0.8250 0.9738 0.6758
3 Pm 0.4920 0.8135 0.6905
4 Pm 0.9920 0.6905 0.8135
5 Ho 0.6643 0.5292 0.8188
6 Ho 0.6643 0.1812 0.4708
7 Ho 0.3250 0.0262 0.3242
8 Ho 0.9484 0.7845 0.2155
9 Pm 0.3120 0.4484 0.5516
10 La 0.0824 0.2747 0.7253
11 Ho 0.8250 0.3242 0.0262
12 Ho 0.1643 0.8188 0.5292
13 Pm 0.9920 0.1865 0.3095
14 Pm 0.4920 0.3095 0.1865
15 Ho 0.1643 0.4708 0.1812
16 Pm 0.8120 0.5516 0.4484
17 Ho 0.3250 0.6758 0.9738
18 Ho 0.6800 0.9505 0.0495
19 La 0.5824 0.7253 0.2747
20 Ho 0.1800 0.0495 0.9505

---

## Cd3FeN (PBE)

Data for Cd3FeN after structural relaxation.

Results
formation energy from raw total energies: 1.4528 eV per atom
E above lowest polymorph: 573.3 meV per atom

Unit cell a=5.1313 b=5.1313 c=5.1313 alpha=90.00 beta=90.00 gamma=90.00
Each line ends with the local moment (μB).
Fractional coordinates of all 5 atoms:
1 Fe 0.0000 0.0000 0.0000  2.56
2 N 0.5000 0.5000 0.5000  1.63
3 Cd 0.5000 0.0000 0.0000  -0.01
4 Cd 0.0000 0.5000 0.0000  0.01
5 Cd 0.0000 0.0000 0.5000  -0.02

---

## LaMnTc2 (PBE)

Data for LaMnTc2 after structural relaxation.

Results
DFT formation energy: 0.454 eV/atom
E above lowest polymorph: 239.0 meV per atom

Unit cell a=4.6282 b=4.6282 c=4.6282 alpha=60.00 beta=60.00 gamma=60.00
Each line ends with the local moment (μB).
Fractional coordinates of all 4 atoms:
1 La 0.5000 0.5000 0.5000  -0.08
2 Tc 0.7500 0.7500 0.7500  -0.14
3 Tc 0.0000 0.0000 0.0000  -0.27
4 Mn 0.2500 0.2500 0.2500  2.98

---

## NbCuI6 (PBE)

Data for NbCuI6 after structural relaxation.

Results
formation energy from raw total energies: -0.2636 eV per atom

Unit cell a=7.4806 b=7.8742 c=7.5155 alpha=105.07 beta=102.70 gamma=122.02
Each line ends with the local moment (μB).
Fractional coordinates of all 8 atoms:
1 I 0.1460 0.3876 0.2977  0.02
2 I 0.1517 0.9100 0.2977  0.02
3 Nb 0.0000 0.5000 0.0000  0.50
4 I 0.5684 0.2852 0.0000  -0.02
5 I 0.4316 0.7148 0.0000  -0.02
6 Cu 0.0000 0.0000 0.0000  0.13
7 I 0.8483 0.0900 0.7023  0.02
8 I 0.8540 0.6124 0.7023  0.02

---

## NdSm2Al (PBE)

Data for NdSm2Al after structural relaxation.

Results
DFT formation energy: -0.167 eV/atom
E above lowest polymorph: 15.6 meV per atom

Unit cell a=3.5777 b=3.5777 c=9.3128 alpha=90.00 beta=90.00 gamma=90.00
Fractional coordinates of all 4 atoms:
1 Sm 0.0000 0.0000 0.2110
2 Al 0.5000 0.5000 0.0000
3 Nd 0.5000 0.5000 0.5000
4 Sm 0.0000 0.0000 0.7890

---

## Nb2V3Mo2 (PBE)

Data for Nb2V3Mo2 after structural relaxation.

Results
DFT formation energy: -0.044 eV/atom

Unit cell a=4.4600 b=4.4699 c=6.8156 alpha=109.15 beta=90.00 gamma=119.93
Fractional coordinates of all 7 atoms:
1 Mo 0.2162 0.4325 0.1489
2 V 0.6460 0.2920 0.4385
3 V 0.3540 0.7080 0.5615
4 V 0.5000 0.0000 0.0000
5 Nb 0.0732 0.1464 0.7193
6 Mo 0.7838 0.5675 0.8511
7 Nb 0.9268 0.8536 0.2807

---

## HfFeTe2N (PBE)

Data for HfFeTe2N after structural relaxation.

Results
formation energy from raw total energies: 0.4380 eV per atom
E above lowest polymorph: 301.7 meV per atom

Unit cell a=5.6960 b=5.6960 c=3.9476 alpha=90.00 beta=90.00 gamma=90.00
Each line ends with the local moment (μB).
Fractional coordinates of all 5 atoms:
1 Te 0.0000 0.5000 0.0000  -0.01
2 Hf 0.0000 0.0000 0.0000  0.01
3 N 0.0000 0.0000 0.5000  -0.10
4 Te 0.5000 0.0000 0.0000  -0.01
5 Fe 0.5000 0.5000 0.5000  3.37

---

## La3NbH (PBE)

Data for La3NbH after structural relaxation.

Results
E above lowest polymorph: 0.0 meV per atom

Unit cell a=4.9972 b=4.9972 c=4.9972 alpha=90.00 beta=90.00 gamma=90.00
Fractional coordinates of all 5 atoms:
1 La 0.0000 0.0000 0.5000
2 La 0.0000 0.5000 0.0000
3 H 0.0000 0.0000 0.0000
4 Nb 0.5000 0.5000 0.5000
5 La 0.5000 0.0000 0.0000

---

| no. | mass density (Mg/m³) |
| --- | --- |
| 1 | 7.8 |
| 2 | 5.0 |
| 3 | 9.2 |
| 4 | 4.7 |
| 5 | 6.6 |
| 6 | 8.1 |
| 7 | 6.5 |
| 8 | 6.8 |